The following is a PBE-GGA calculation of a relaxed structure of HoScZnRe, from Alexandria.

## Properties
The calculation puts the formation energy at -92 meV/atom. As for the total energy: -6.2498 eV/atom. The value obtained for the total moment is 0.0000 μB/atom. The density of states at the Fermi level is 3.11 states/eV/cell.

a = 4.776 Å, b = 4.776 Å, c = 4.776 Å
α = 60.00°, β = 60.00°, γ = 60.00°
Atoms (fractional coordinates):
Ho  0.000  0.000  0.000
Sc  0.500  0.500  0.500
Zn  0.250  0.250  0.250
Re  0.750  0.750  0.750